Density functional theory data (PBE-GGA) for a geometry-optimized RbNaHgO2 structure.

a b c (Å): 6.3915 12.8362 5.4334
angles (deg): 90.00 90.00 90.00
Space group Cmme (No. 67)
Inequivalent atoms, fractional coordinates:
Rb: 0.0000 0.2500 0.1809
Na: 0.2500 0.0000 0.0000
Hg: 0.0000 0.0000 0.5000
O: 0.0000 0.1000 0.7875

Computed properties:
The calculation puts the uncorrected formation energy at -945 meV per atom. The calculation puts the total magnetization at 0.000 μB/atom.